No. 1
## MgMo2Ir (GGA-PBEsol)

Data for crystalline MgMo2Ir at its relaxed geometry.

Values from the calculation:
The calculation puts the spin magnetization at 0.0 μB per formula unit. For the volume, the calculation gives 62.8 Å³/cell. For the energy relative to the elements, the calculation gives 0.124 eV per atom. Its density of states at the Fermi level is 2.3 states/eV/f.u.

The structure in CIF format:
```
data_MgMo2Ir
_cell_length_a 2.7364
_cell_length_b 2.7364
_cell_length_c 8.3842
_cell_angle_alpha 90.00
_cell_angle_beta 90.00
_cell_angle_gamma 90.00
_space_group_name_H-M_alt 'P 4/m m m'
_space_group_IT_number 123
_space_group_name_Hall '-P 4 2'
loop_
_atom_site_label
_atom_site_fract_x
_atom_site_fract_y
_atom_site_fract_z
Mg1 0.0000 0.0000 0.0000
Mo1 0.5000 0.5000 0.2703
Ir1 0.0000 0.0000 0.5000
```



No. 2
## MgMoIr (GGA-PBEsol)

Data for crystalline MgMoIr at its relaxed geometry.

Values from the calculation:
The calculation puts the spin magnetization at 0.0 μB per formula unit. For the volume, the calculation gives 212.0 Å³/cell. For the energy relative to the elements, the calculation gives 0.520 eV per atom. Its density of states at the Fermi level is 3.5 states/eV/f.u.

The structure in CIF format:
```
data_MgMoIr
_cell_length_a 5.9629
_cell_length_b 5.9629
_cell_length_c 5.9629
_cell_angle_alpha 90.00
_cell_angle_beta 90.00
_cell_angle_gamma 90.00
_space_group_name_H-M_alt 'F -4 3 m'
_space_group_IT_number 216
_space_group_name_Hall 'F -4 2 3'
loop_
_atom_site_label
_atom_site_fract_x
_atom_site_fract_y
_atom_site_fract_z
Mg1 0.0000 0.0000 0.0000
Mo1 0.2500 0.2500 0.7500
Ir1 0.0000 0.0000 0.5000
```



No. 3
## MgTa2MoIr (GGA-PBEsol)

Data for crystalline MgTa2MoIr at its relaxed geometry.

Values from the calculation:
The calculation puts the spin magnetization at 0.0 μB per formula unit. For the volume, the calculation gives 91.1 Å³/cell. For the energy relative to the elements, the calculation gives 2.102 eV per atom. Its density of states at the Fermi level is 5.6 states/eV/f.u.

The structure in CIF format:
```
data_MgTa2MoIr
_cell_length_a 4.5755
_cell_length_b 4.5755
_cell_length_c 4.3501
_cell_angle_alpha 90.00
_cell_angle_beta 90.00
_cell_angle_gamma 90.00
_space_group_name_H-M_alt 'P 4/m m m'
_space_group_IT_number 123
_space_group_name_Hall '-P 4 2'
loop_
_atom_site_label
_atom_site_fract_x
_atom_site_fract_y
_atom_site_fract_z
Mg1 0.0000 0.0000 0.0000
Ta1 0.0000 0.5000 0.0000
Mo1 0.0000 0.0000 0.5000
Ir1 0.5000 0.5000 0.5000
```



No. 4
## MgNb2Ir2 (GGA-PBEsol)

Data for crystalline MgNb2Ir2 at its relaxed geometry.

Values from the calculation:
The calculation puts the spin magnetization at 0.0 μB per formula unit. For the volume, the calculation gives 171.5 Å³/cell. For the energy relative to the elements, the calculation gives -0.364 eV per atom. Its density of states at the Fermi level is 3.5 states/eV/f.u.

The structure in CIF format:
```
data_MgNb2Ir2
_cell_length_a 7.6481
_cell_length_b 7.6481
_cell_length_c 2.9315
_cell_angle_alpha 90.00
_cell_angle_beta 90.00
_cell_angle_gamma 90.00
_space_group_name_H-M_alt 'P 4/m b m'
_space_group_IT_number 127
_space_group_name_Hall '-P 4 2ab'
loop_
_atom_site_label
_atom_site_fract_x
_atom_site_fract_y
_atom_site_fract_z
Mg1 0.0000 0.0000 0.0000
Nb1 0.1643 0.3357 0.5000
Ir1 0.1301 0.6301 0.0000
```



No. 5
## MgNiIr2 (GGA-PBEsol)

Data for crystalline MgNiIr2 at its relaxed geometry.

Values from the calculation:
The calculation puts the spin magnetization at 0.0 μB per formula unit. For the volume, the calculation gives 108.9 Å³/cell. For the energy relative to the elements, the calculation gives -0.111 eV per atom. Its density of states at the Fermi level is 3.1 states/eV/f.u.

The structure in CIF format:
```
data_MgNiIr2
_cell_length_a 8.9424
_cell_length_b 2.7360
_cell_length_c 4.5314
_cell_angle_alpha 90.00
_cell_angle_beta 100.78
_cell_angle_gamma 90.00
_space_group_name_H-M_alt 'C 1 m 1'
_space_group_IT_number 8
_space_group_name_Hall 'C -2y'
loop_
_atom_site_label
_atom_site_fract_x
_atom_site_fract_y
_atom_site_fract_z
Mg1 0.0000 0.0000 0.0000
Ni1 0.2457 0.0000 0.7863
Ir1 0.0041 0.5000 0.5036
Ir2 0.2594 0.5000 0.3106
```



No. 6
## MgNi2Ir (GGA-PBEsol)

Data for crystalline MgNi2Ir at its relaxed geometry.

Values from the calculation:
The calculation puts the spin magnetization at 0.0 μB per formula unit. For the volume, the calculation gives 99.7 Å³/cell. For the energy relative to the elements, the calculation gives -0.125 eV per atom. Its density of states at the Fermi level is 3.8 states/eV/f.u.

The structure in CIF format:
```
data_MgNi2Ir
_cell_length_a 5.3054
_cell_length_b 7.0535
_cell_length_c 2.6639
_cell_angle_alpha 90.00
_cell_angle_beta 90.00
_cell_angle_gamma 90.00
_space_group_name_H-M_alt 'C m m m'
_space_group_IT_number 65
_space_group_name_Hall '-C 2 2'
loop_
_atom_site_label
_atom_site_fract_x
_atom_site_fract_y
_atom_site_fract_z
Mg1 0.0000 0.0000 0.0000
Ni1 0.2500 0.2500 0.5000
Ir1 0.0000 0.5000 0.0000
```